No. 1
Material: YZrTcOs
Method: DFT, PBE
State: optimized geometry

Lattice parameters (Å, degrees): 4.742 4.742 4.742 60.00 60.00 60.00
Fractional positions:
Y 0.250 0.250 0.250
Os 0.000 0.000 0.000
Tc 0.500 0.500 0.500
Zr 0.750 0.750 0.750

## Properties
DFT formation energy ... -3.12 kcal/mol of atoms
Symmetry ... F-43m


No. 2
Material: Dy2TmGa
Method: DFT, PBE
State: optimized geometry

Lattice parameters (Å, degrees): 3.634 6.605 9.532 90.00 90.00 105.97
Fractional positions:
Dy 0.366 0.732 0.550
Dy 0.634 0.268 0.450
Dy 0.366 0.732 0.950
Dy 0.634 0.268 0.050
Tm 0.944 0.889 0.250
Tm 0.056 0.111 0.750
Ga 0.743 0.484 0.750
Ga 0.257 0.516 0.250

## Properties
DFT formation energy ... -6.44 kcal/mol of atoms
E above lowest polymorph ... 0.0 kJ/mol of atoms
Symmetry ... Cmcm


No. 3
Material: ZnCdO2
Method: DFT, PBE
State: optimized geometry

Lattice parameters (Å, degrees): 3.255 3.255 4.588 90.00 90.00 90.00
Fractional positions:
Zn 0.000 0.000 0.500
O 0.500 0.500 0.500
O 0.000 0.000 0.000
Cd 0.500 0.500 0.000

## Properties
Energy relative to the elements, uncorrected ... -1052 meV/atom
Symmetry ... P4/mmm


No. 4
Material: Ba2Cd2Pd
Method: DFT, PBE
State: optimized geometry

Lattice parameters (Å, degrees): 4.568 6.744 12.098 84.90 79.12 70.21
Fractional positions:
Ba 0.705 0.230 0.360
Ba 0.913 0.290 0.883
Ba 0.295 0.770 0.640
Ba 0.087 0.710 0.117
Cd 0.041 0.328 0.589
Cd 0.628 0.866 0.877
Cd 0.959 0.672 0.411
Cd 0.372 0.134 0.123
Pd 0.579 0.152 0.690
Pd 0.421 0.848 0.310

## Properties
DFT formation energy ... -9.69 kcal/mol of atoms
E above lowest polymorph ... 0.9 kJ/mol of atoms
Symmetry ... C2/m


No. 5
Material: BaTl2BiPd2
Method: DFT, PBE
State: optimized geometry

Lattice parameters (Å, degrees): 5.234 5.234 6.879 90.00 90.00 90.00
Fractional positions:
Ba 0.000 0.000 0.500
Tl 0.500 0.500 0.759
Tl 0.500 0.500 0.241
Bi 0.000 0.000 0.000
Pd 0.500 0.000 0.000
Pd 0.000 0.500 0.000

## Properties
DFT formation energy ... -4.94 kcal/mol of atoms
Symmetry ... P4/mmm


No. 6
Material: AcHf2NpO8
Method: DFT, PBE
State: optimized geometry

Lattice parameters (Å, degrees): 5.124 5.121 6.868 90.00 90.00 88.54
Fractional positions:
Ac 0.000 0.000 0.500
Hf 0.500 0.500 0.754
Hf 0.500 0.500 0.246
Np 0.000 0.000 0.000
O 0.209 0.790 0.216
O 0.689 0.689 0.000
O 0.791 0.210 0.216
O 0.791 0.210 0.784
O 0.311 0.311 0.000
O 0.209 0.790 0.784
O 0.668 0.668 0.500
O 0.332 0.332 0.500

## Properties
Energy relative to the elements, uncorrected ... -3224 meV/atom
Symmetry ... Cmmm


No. 7
Material: Li3YCd
Method: DFT, PBE
State: optimized geometry

Lattice parameters (Å, degrees): 5.633 5.633 5.633 90.00 90.00 90.00
Fractional positions:
Y 0.000 0.000 0.000
Li 0.000 0.500 0.000
Li 0.000 0.000 0.500
Li 0.500 0.000 0.000
Cd 0.500 0.500 0.500

## Properties
DFT formation energy ... 23.23 kcal/mol of atoms
E above lowest polymorph ... 78.6 kJ/mol of atoms
Symmetry ... Pm-3m


No. 8
Material: Ac4Pr3
Method: DFT, PBE
State: optimized geometry

Lattice parameters (Å, degrees): 5.509 6.738 8.588 82.93 90.00 114.13
Fractional positions:
Ac 0.431 0.862 0.725
Ac 0.144 0.288 0.575
Ac 0.856 0.712 0.425
Ac 0.569 0.138 0.275
Pr 0.282 0.564 0.138
Pr 0.000 0.000 0.000
Pr 0.718 0.436 0.862

## Properties
DFT formation energy ... 0.66 kcal/mol of atoms
E above lowest polymorph ... 0.0 kJ/mol of atoms
Symmetry ... C2/m


No. 9
Material: AgAs2
Method: DFT, PBE
State: optimized geometry

Lattice parameters (Å, degrees): 3.852 4.584 7.762 90.00 90.00 90.00
Fractional positions:
Ag 0.000 0.000 0.000
Ag 0.500 0.500 0.500
As 0.764 0.000 0.390
As 0.236 0.000 0.610
As 0.264 0.500 0.110
As 0.736 0.500 0.890

## Properties
DFT formation energy ... 3.66 kcal/mol of atoms
Symmetry ... Pnnm


No. 10
Material: Sc2CrIr
Method: DFT, PBE
State: optimized geometry

Lattice parameters (Å, degrees): 9.407 9.407 9.407 18.16 18.16 18.16
Fractional positions:
Sc 0.910 0.910 0.910
Sc 0.090 0.090 0.090
Cr 0.000 0.000 0.000
Ir 0.500 0.500 0.500

## Properties
DFT formation energy ... 7.27 kcal/mol of atoms
Symmetry ... R-3m


No. 11
Material: Tl2TcSnOs
Method: DFT, PBE
State: optimized geometry

Lattice parameters (Å, degrees): 5.262 5.089 5.262 90.00 90.00 90.00
Fractional positions:
Tl 0.000 0.000 0.500
Tl 0.500 0.000 0.000
Os 0.500 0.500 0.500
Sn 0.000 0.500 0.000
Tc 0.000 0.000 0.000

## Properties
DFT formation energy ... 35.25 kcal/mol of atoms
Symmetry ... P4/mmm


No. 12
Material: Ti2N2O
Method: DFT, PBE
State: optimized geometry

Lattice parameters (Å, degrees): 8.200 8.218 8.222 109.45 109.46 109.36
Fractional positions:
Ti 0.013 0.500 0.998
Ti 0.747 0.538 0.302
Ti 0.214 0.751 0.465
Ti 0.712 0.750 0.954
Ti 0.266 0.963 0.209
Ti 0.961 0.707 0.742
Ti 0.449 0.211 0.746
Ti 0.040 0.293 0.249
Ti 0.994 0.005 0.508
Ti 0.497 0.996 0.993
Ti 0.542 0.796 0.260
Ti 0.509 0.512 0.510
Ti 0.748 0.038 0.798
Ti 0.796 0.249 0.540
Ti 0.286 0.251 0.039
Ti 0.242 0.452 0.698
N 0.043 0.271 0.995
N 0.271 0.725 0.234
N 0.774 0.038 0.051
N 0.459 0.954 0.726
N 0.491 0.537 0.262
N 0.009 0.772 0.544
N 0.511 0.460 0.737
N 0.734 0.774 0.725
N 0.225 0.228 0.773
N 0.226 0.962 0.954
N 0.538 0.050 0.275
N 0.764 0.988 0.539
N 0.989 0.224 0.450
N 0.271 0.547 0.506
N 0.724 0.447 0.487
N 0.053 0.511 0.779
O 0.952 0.729 0.007
O 0.554 0.275 0.040
O 0.944 0.486 0.221
O 0.260 0.221 0.275
O 0.240 0.016 0.460
O 0.453 0.727 0.959
O 0.774 0.770 0.224
O 0.727 0.275 0.768

## Properties
Energy relative to the elements, uncorrected ... -1847 meV/atom
Symmetry ... P1


No. 13
Material: TbAgHg2
Method: DFT, PBE
State: optimized geometry

Lattice parameters (Å, degrees): 5.024 5.024 5.024 60.00 60.00 60.00
Fractional positions:
Tb 0.000 0.000 0.000
Hg 0.250 0.250 0.250
Hg 0.750 0.750 0.750
Ag 0.500 0.500 0.500

## Properties
DFT formation energy ... -7.96 kcal/mol of atoms
Symmetry ... Fm-3m


No. 14
Material: RbAcInS3
Method: DFT, PBE
State: optimized geometry

Lattice parameters (Å, degrees): 4.801 9.087 9.979 103.57 90.00 90.00
Fractional positions:
Rb 0.250 0.186 0.211
Rb 0.750 0.814 0.789
Ac 0.250 0.661 0.150
Ac 0.750 0.339 0.850
In 0.250 0.117 0.588
In 0.750 0.883 0.412
S 0.750 0.877 0.152
S 0.250 0.123 0.848
S 0.250 0.809 0.472
S 0.750 0.191 0.528
S 0.750 0.455 0.147
S 0.250 0.545 0.853

## Properties
Energy relative to the elements, uncorrected ... -1287 meV/atom
Symmetry ... P2_1/m


No. 15
Material: K2Zn
Method: DFT, PBE
State: optimized geometry

Lattice parameters (Å, degrees): 8.357 8.357 8.357 150.48 150.48 42.23
Fractional positions:
K 0.634 0.634 0.000
K 0.366 0.366 0.000
Zn 0.000 0.000 0.000

## Properties
DFT formation energy ... 3.09 kcal/mol of atoms
E above lowest polymorph ... 4.9 kJ/mol of atoms
Symmetry ... I4/mmm


No. 16
Material: Nd3Sc2Pb4
Method: DFT, PBE
State: optimized geometry

Lattice parameters (Å, degrees): 4.659 7.011 9.702 113.70 90.00 109.41
Fractional positions:
Nd 0.626 0.252 0.695
Nd 0.000 0.000 0.000
Nd 0.374 0.748 0.305
Sc 0.687 0.374 0.361
Sc 0.313 0.626 0.639
Pb 0.698 0.395 0.067
Pb 0.302 0.605 0.933
Pb 0.929 0.857 0.602
Pb 0.071 0.143 0.398

## Properties
DFT formation energy ... -10.39 kcal/mol of atoms
Symmetry ... C2/m


No. 17
Material: Tb2CuPtO5
Method: DFT, PBE
State: optimized geometry

Lattice parameters (Å, degrees): 5.747 6.562 6.562 90.00 90.00 90.00
Fractional positions:
Tb 0.500 0.675 0.175
Tb 0.500 0.175 0.325
Tb 0.500 0.825 0.675
Tb 0.500 0.325 0.825
Cu 0.000 0.500 0.500
Cu 0.000 0.000 0.000
Pt 0.000 0.000 0.500
Pt 0.000 0.500 0.000
O 0.500 0.500 0.500
O 0.500 0.000 0.000
O 0.260 0.138 0.638
O 0.260 0.862 0.362
O 0.260 0.362 0.138
O 0.260 0.638 0.862
O 0.740 0.138 0.638
O 0.740 0.638 0.862
O 0.740 0.862 0.362
O 0.740 0.362 0.138

## Properties
Energy relative to the elements, uncorrected ... -1859 meV/atom
Symmetry ... P4/mbm


No. 18
Material: ScH
Method: DFT, PBE
State: optimized geometry

Lattice parameters (Å, degrees): 3.360 3.360 5.272 90.00 90.00 120.00
Fractional positions:
Sc 0.333 0.667 0.783
Sc 0.667 0.333 0.283
H 0.333 0.667 0.387
H 0.667 0.333 0.887

## Properties
E_tot ... -5.32 eV per atom
Symmetry ... P6_3mc


No. 19
Material: HfGaP2Cl
Method: DFT, PBE
State: optimized geometry

Lattice parameters (Å, degrees): 4.683 4.683 4.601 90.00 90.00 90.00
Fractional positions:
P 0.000 0.500 0.000
P 0.500 0.000 0.000
Hf 0.500 0.500 0.500
Ga 0.000 0.000 0.000
Cl 0.000 0.000 0.500

## Properties
Energy relative to the elements, uncorrected ... 389 meV/atom
E above lowest polymorph ... 56.6 kJ/mol of atoms
Symmetry ... P4/mmm


No. 20
Material: U3Al
Method: DFT, PBE
State: optimized geometry

Lattice parameters (Å, degrees): 4.339 4.339 5.215 114.58 114.58 90.00
Fractional positions:
U 0.750 0.250 0.500
U 0.250 0.750 0.500
U 0.500 0.500 0.000
Al 0.000 0.000 0.000

## Properties
DFT formation energy ... 0.93 kcal/mol of atoms
Symmetry ... I4/mmm


No. 21
Material: LiTlTcF6
Method: DFT, PBE
State: optimized geometry

Lattice parameters (Å, degrees): 5.411 5.411 12.215 90.00 90.00 120.00
Fractional positions:
Li 0.333 0.667 0.250
Li 0.667 0.333 0.750
Tl 0.000 0.000 0.000
Tl 0.000 0.000 0.500
Tc 0.667 0.333 0.250
Tc 0.333 0.667 0.750
F 0.637 0.620 0.160
F 0.983 0.363 0.160
F 0.363 0.983 0.660
F 0.017 0.637 0.840
F 0.380 0.363 0.340
F 0.983 0.620 0.340
F 0.620 0.983 0.840
F 0.637 0.017 0.340
F 0.017 0.380 0.660
F 0.380 0.017 0.160
F 0.620 0.637 0.660
F 0.363 0.380 0.840

## Properties
Energy relative to the elements, uncorrected ... -2314 meV/atom
Symmetry ... P-31c